1.
PBE KLuH8C4O12, optimized geometry; space group = I4_1/a; VASP energy = -6.3841 eV per atom
1.0
-5.5773 5.5773 4.2546
5.5773 -5.5773 4.2546
5.5773 5.5773 -4.2546
K Lu H C O
2 2 16 8 24
Direct
0.3750 0.1250 0.2500 K
0.6250 0.8750 0.7500 K
0.1250 0.3750 0.7500 Lu
0.8750 0.6250 0.2500 Lu
0.0129 0.1863 0.1707 H
0.1368 0.0477 0.9031 H
0.2663 0.3632 0.4109 H
0.3137 0.9844 0.8266 H
0.3423 0.5129 0.3266 H
0.3555 0.7663 0.4031 H
0.4523 0.8555 0.0891 H
0.4844 0.1577 0.6707 H
0.5156 0.8423 0.3293 H
0.5477 0.1445 0.9109 H
0.6445 0.2337 0.5969 H
0.6577 0.4871 0.6734 H
0.6863 0.0156 0.1734 H
0.7337 0.6368 0.5891 H
0.8632 0.9523 0.0969 H
0.9871 0.8137 0.8293 H
0.0804 0.0603 0.4722 C
0.0881 0.6082 0.0278 C
0.1082 0.5804 0.5200 C
0.4397 0.4119 0.0200 C
0.5603 0.5881 0.9800 C
0.8918 0.4196 0.4800 C
0.9119 0.3918 0.9722 C
0.9196 0.9397 0.5278 C
0.0895 0.9641 0.3546 O
0.1096 0.7350 0.1454 O
0.1305 0.9324 0.8934 O
0.1397 0.6892 0.4422 O
0.1892 0.2470 0.5495 O
0.1975 0.6397 0.9505 O
0.2350 0.5895 0.6254 O
0.2530 0.3025 0.9422 O
0.2629 0.3695 0.3019 O
0.4324 0.0390 0.8019 O
0.4610 0.7629 0.3934 O
0.4641 0.6096 0.8746 O
0.5359 0.3904 0.1254 O
0.5390 0.2371 0.6066 O
0.5676 0.9610 0.1981 O
0.7371 0.6305 0.6981 O
0.7470 0.6975 0.0578 O
0.7650 0.4105 0.3746 O
0.8025 0.3603 0.0495 O
0.8108 0.7530 0.4505 O
0.8603 0.3108 0.5578 O
0.8695 0.0676 0.1066 O
0.8904 0.2650 0.8546 O
0.9105 0.0359 0.6454 O

2.
PBE SmHoSi2Pd, optimized geometry; space group = C2/m; VASP energy = -5.9595 eV per atom
1.0
5.2608 -2.1553 0.0000
5.2608 2.1553 0.0000
-4.9400 0.0000 9.0284
Sm Ho Si Pd
2 2 4 2
Direct
0.0030 0.0030 0.3223 Sm
0.9970 0.9970 0.6777 Sm
0.1864 0.1864 0.1066 Ho
0.8136 0.8136 0.8934 Ho
0.3649 0.3649 0.4363 Si
0.4821 0.4821 0.1106 Si
0.5179 0.5179 0.8894 Si
0.6351 0.6351 0.5637 Si
0.2749 0.2749 0.6457 Pd
0.7251 0.7251 0.3543 Pd

3.
PBE SmGeAuS3, optimized geometry; space group = Cmcm; VASP energy = -4.9201 eV per atom
1.0
1.9420 -6.3233 0.0000
1.9420 6.3233 0.0000
0.0000 0.0000 10.6209
Sm Ge Au S
2 2 2 6
Direct
0.0000 0.0000 0.0000 Sm
0.0000 0.0000 0.5000 Sm
0.2353 0.7647 0.7500 Ge
0.7647 0.2353 0.2500 Ge
0.4693 0.5307 0.2500 Au
0.5307 0.4693 0.7500 Au
0.1068 0.8932 0.2500 S
0.3493 0.6507 0.0673 S
0.3493 0.6507 0.4327 S
0.6507 0.3493 0.5673 S
0.6507 0.3493 0.9327 S
0.8932 0.1068 0.7500 S

4.
PBE DyNpAu, optimized geometry; E_form = 0.4786 eV per atom; space group = F-43m
1.0
6.8738 0.0000 0.0000
0.0000 6.8738 0.0000
0.0000 0.0000 6.8738
Dy Np Au
4 4 4
Direct
0.0000 0.0000 0.0000 Dy
0.0000 0.5000 0.5000 Dy
0.5000 0.0000 0.5000 Dy
0.5000 0.5000 0.0000 Dy
0.2500 0.2500 0.7500 Np
0.2500 0.7500 0.2500 Np
0.7500 0.2500 0.2500 Np
0.7500 0.7500 0.7500 Np
0.0000 0.0000 0.5000 Au
0.0000 0.5000 0.0000 Au
0.5000 0.0000 0.0000 Au
0.5000 0.5000 0.5000 Au

| no. | calculated volume (Å³/cell) |
| --- | --- |
| 1 | 529 |
| 2 | 205 |
| 3 | 261 |
| 4 | 325 |